Record 1
# CaPr4Sm3

A relaxed CaPr4Sm3 crystal (PBE, Alexandria).

Calculated values
For the calculated formation energy, the calculation gives 38 meV per atom. The calculation puts the total magnetic moment at 0.00 Bohr magnetons per cell.

The structure in CIF format:
```
data_CaPr4Sm3
_symmetry_space_group_name_H-M 'I 4/m m m'
_symmetry_Int_Tables_number 139
_symmetry_space_group_name_Hall '-I 4 2'
_cell_length_a 5.2423
_cell_length_b 5.2423
_cell_length_c 20.7485
_cell_angle_alpha 90.00
_cell_angle_beta 90.00
_cell_angle_gamma 90.00
loop_
_atom_site_label
_atom_site_type_symbol
_atom_site_fract_x
_atom_site_fract_y
_atom_site_fract_z
_atom_site_occupancy
Ca1 Ca 0.0000 0.0000 0.0000 1
Pr1 Pr 0.0000 0.5000 0.1278 1
Sm1 Sm 0.0000 0.0000 0.2505 1
Sm2 Sm 0.0000 0.0000 0.5000 1
```

=====

Record 2
# Pm5Dy12Y2

A relaxed Pm5Dy12Y2 crystal (PBE, Alexandria).

Calculated values
For the distance to the lowest polymorph of the same formula, the calculation gives 0 meV/atom. For the calculated formation energy, the calculation gives 17 meV per atom. The calculation puts the total magnetic moment at 0.00 Bohr magnetons per cell.

The structure in CIF format:
```
data_Pm5Dy12Y2
_symmetry_space_group_name_H-M 'P -1'
_symmetry_Int_Tables_number 2
_symmetry_space_group_name_Hall '-P 1'
_cell_length_a 6.1874
_cell_length_b 9.4556
_cell_length_c 11.2946
_cell_angle_alpha 90.03
_cell_angle_beta 100.52
_cell_angle_gamma 108.97
loop_
_atom_site_label
_atom_site_type_symbol
_atom_site_fract_x
_atom_site_fract_y
_atom_site_fract_z
_atom_site_occupancy
Pm1 Pm 0.0000 0.0000 0.0000 1
Pm2 Pm 0.2633 0.8419 0.5266 1
Pm3 Pm 0.4740 0.3159 0.9468 1
Dy1 Dy 0.0525 0.3686 0.1056 1
Dy2 Dy 0.1049 0.7362 0.2113 1
Dy3 Dy 0.1583 0.1062 0.3157 1
Dy4 Dy 0.3155 0.2106 0.6320 1
Dy5 Dy 0.3687 0.5791 0.7373 1
Dy6 Dy 0.4205 0.9471 0.8414 1
Y1 Y 0.2109 0.4737 0.4206 1
```

=====

Record 3
# Ba2CeDySe4

A relaxed Ba2CeDySe4 crystal (PBE, Alexandria).

Calculated values
For the uncorrected formation energy, the calculation gives -1868 meV per atom. The calculation puts the total magnetic moment at 1.42 Bohr magnetons per cell.

The structure in CIF format:
```
data_Ba2CeDySe4
_symmetry_space_group_name_H-M 'P 1 2/m 1'
_symmetry_Int_Tables_number 10
_symmetry_space_group_name_Hall '-P 2y'
_cell_length_a 7.5395
_cell_length_b 4.3481
_cell_length_c 7.8160
_cell_angle_alpha 90.00
_cell_angle_beta 108.67
_cell_angle_gamma 90.00
loop_
_atom_site_label
_atom_site_type_symbol
_atom_site_fract_x
_atom_site_fract_y
_atom_site_fract_z
_atom_site_occupancy
Ba1 Ba 0.0000 0.0000 0.0000 1
Ba2 Ba 0.5000 0.5000 0.0000 1
Ce1 Ce 0.0000 0.5000 0.5000 1
Dy1 Dy 0.5000 0.0000 0.5000 1
Se1 Se 0.2467 0.0000 0.7181 1
Se2 Se 0.2685 0.5000 0.2859 1
```

=====

Record 4
# MnVMoOs

A relaxed MnVMoOs crystal (PBE, Alexandria).

Calculated values
For the calculated formation energy, the calculation gives -74 meV per atom. The calculation puts the total magnetic moment at 8.97 Bohr magnetons per cell.

The structure in CIF format:
```
data_MnVMoOs
_symmetry_space_group_name_H-M 'F -4 3 m'
_symmetry_Int_Tables_number 216
_symmetry_space_group_name_Hall 'F -4 2 3'
_cell_length_a 6.0602
_cell_length_b 6.0602
_cell_length_c 6.0602
_cell_angle_alpha 90.00
_cell_angle_beta 90.00
_cell_angle_gamma 90.00
loop_
_atom_site_label
_atom_site_type_symbol
_atom_site_fract_x
_atom_site_fract_y
_atom_site_fract_z
_atom_site_occupancy
Mn1 Mn 0.0000 0.0000 0.0000 1
V1 V 0.0000 0.0000 0.5000 1
Mo1 Mo 0.2500 0.2500 0.2500 1
Os1 Os 0.2500 0.2500 0.7500 1
```

=====

Record 5
# ZrAs2Ru

A relaxed ZrAs2Ru crystal (PBE, Alexandria).

Calculated values
For the distance to the lowest polymorph of the same formula, the calculation gives 145 meV/atom. For the calculated formation energy, the calculation gives -460 meV per atom. The calculation puts the total magnetic moment at 0.77 Bohr magnetons per cell.

The structure in CIF format:
```
data_ZrAs2Ru
_symmetry_space_group_name_H-M 'P 4 m m'
_symmetry_Int_Tables_number 99
_symmetry_space_group_name_Hall 'P 4 -2'
_cell_length_a 3.5297
_cell_length_b 3.5297
_cell_length_c 5.6678
_cell_angle_alpha 90.00
_cell_angle_beta 90.00
_cell_angle_gamma 90.00
loop_
_atom_site_label
_atom_site_type_symbol
_atom_site_fract_x
_atom_site_fract_y
_atom_site_fract_z
_atom_site_occupancy
Zr1 Zr 0.0000 0.0000 0.0000 1
As1 As 0.0000 0.0000 0.5060 1
As2 As 0.5000 0.5000 0.1731 1
Ru1 Ru 0.5000 0.5000 0.6548 1
```

=====

Record 6
# NbN2Cl

A relaxed NbN2Cl crystal (PBE, Alexandria).

Calculated values
For the distance to the lowest polymorph of the same formula, the calculation gives 0 meV/atom. For the uncorrected formation energy, the calculation gives -30 meV per atom. The calculation puts the total magnetic moment at 0.00 Bohr magnetons per cell.

The structure in CIF format:
```
data_NbN2Cl
_symmetry_space_group_name_H-M 'R -3 m'
_symmetry_Int_Tables_number 166
_symmetry_space_group_name_Hall '-R 3 2"'
_cell_length_a 3.2175
_cell_length_b 3.2175
_cell_length_c 18.3933
_cell_angle_alpha 90.00
_cell_angle_beta 90.00
_cell_angle_gamma 120.00
loop_
_atom_site_label
_atom_site_type_symbol
_atom_site_fract_x
_atom_site_fract_y
_atom_site_fract_z
_atom_site_occupancy
Nb1 Nb 0.0000 0.0000 0.0000 1
N1 N 0.0000 0.0000 0.3910 1
Cl1 Cl 0.0000 0.0000 0.5000 1
```

=====

Record 7
# Ba2InAg

A relaxed Ba2InAg crystal (PBE, Alexandria).

Calculated values
For the calculated formation energy, the calculation gives -309 meV per atom. The calculation puts the total magnetic moment at 0.00 Bohr magnetons per cell.

The structure in CIF format:
```
data_Ba2InAg
_symmetry_space_group_name_H-M 'P 4/m m m'
_symmetry_Int_Tables_number 123
_symmetry_space_group_name_Hall '-P 4 2'
_cell_length_a 6.0477
_cell_length_b 6.0477
_cell_length_c 4.0795
_cell_angle_alpha 90.00
_cell_angle_beta 90.00
_cell_angle_gamma 90.00
loop_
_atom_site_label
_atom_site_type_symbol
_atom_site_fract_x
_atom_site_fract_y
_atom_site_fract_z
_atom_site_occupancy
Ba1 Ba 0.0000 0.5000 0.0000 1
In1 In 0.0000 0.0000 0.5000 1
Ag1 Ag 0.5000 0.5000 0.5000 1
```

=====

Record 8
# NdPaRuRh

A relaxed NdPaRuRh crystal (PBE, Alexandria).

Calculated values
For the calculated formation energy, the calculation gives -393 meV per atom. The calculation puts the total magnetic moment at 0.00 Bohr magnetons per cell.

The structure in CIF format:
```
data_NdPaRuRh
_symmetry_space_group_name_H-M 'F -4 3 m'
_symmetry_Int_Tables_number 216
_symmetry_space_group_name_Hall 'F -4 2 3'
_cell_length_a 6.9512
_cell_length_b 6.9512
_cell_length_c 6.9512
_cell_angle_alpha 90.00
_cell_angle_beta 90.00
_cell_angle_gamma 90.00
loop_
_atom_site_label
_atom_site_type_symbol
_atom_site_fract_x
_atom_site_fract_y
_atom_site_fract_z
_atom_site_occupancy
Nd1 Nd 0.0000 0.0000 0.0000 1
Pa1 Pa 0.0000 0.0000 0.5000 1
Ru1 Ru 0.2500 0.2500 0.7500 1
Rh1 Rh 0.2500 0.2500 0.2500 1
```